<i>
Density functional theory data (PBEsol) for YTaTe2 after structural relaxation.

Cell lengths 6.1618, 6.1618, 6.1618 Å; angles 140.52, 140.52, 57.06 degrees
Last column: nearest neighbours and their distance in Å.
Fractional positions:
Y  0.0000  0.0000  0.0000  4 Te 2.94
Ta  0.7500  0.2500  0.5000  4 Te 2.94
Te  0.2500  0.7500  0.5000  4 Ta 2.94
Te  0.5000  0.5000  0.0000  4 Y 2.94

Output
Its crystal system is tetragonal. Its space group is I-4m2, No. 119.

<ii>
Density functional theory data (PBEsol) for YTaTe2 after structural relaxation.

Cell lengths 10.0342, 10.0342, 10.0342 Å; angles 20.50, 20.50, 20.50 degrees
Last column: nearest neighbours and their distance in Å.
Fractional positions:
Y  0.0000  0.0000  0.0000  2 Te 3.05
Ta  0.5000  0.5000  0.5000  6 Te 2.78
Te  0.1034  0.1034  0.1034  3 Ta 2.78, 1 Y 3.05
Te  0.8966  0.8966  0.8966  3 Ta 2.78, 1 Y 3.05

Output
Its crystal system is trigonal. Its space group is R-3m, No. 166.

The least stable of the structures above is <i>, whereas <ii> is the most stable.